This record from Alexandria describes a relaxed Li2MgRhO4 crystal. The functional is GGA-PBE.

V ... 9.50 A^3/atom
Final energy ... -5.79 eV per atom
Energy relative to the elements, uncorrected ... -1713 meV/atom

Cell lengths 3.039, 5.141, 5.144 Å; angles 109.00, 90.00, 90.00 degrees
Last column: magnetic moment on the atom in μB.
Positions (direct):
Li: 0.500 0.000 0.500  0.00
Li: 0.000 0.500 0.500  0.00
Mg: 0.000 0.000 0.000  0.00
Rh: 0.500 0.500 0.000  0.53
O: 0.500 0.248 0.231  0.12
O: 0.500 0.752 0.769  0.12
O: 0.000 0.267 0.769  0.04
O: 0.000 0.733 0.231  0.04

This record from Alexandria describes a relaxed Li3Mg2RuO6 crystal. The functional is GGA-PBE.

V ... 9.50 A^3/atom
Final energy ... -5.96 eV per atom
Energy relative to the elements, uncorrected ... -1964 meV/atom

Cell lengths 5.192, 5.192, 5.182 Å; angles 99.64, 99.64, 120.00 degrees
Last column: magnetic moment on the atom in μB.
Positions (direct):
Li: 0.162 0.838 0.500  0.00
Li: 0.838 0.162 0.500  0.00
Li: 0.500 0.500 0.500  0.00
Mg: 0.333 0.667 0.000  0.01
Mg: 0.667 0.333 0.000  0.01
Ru: 0.000 0.000 0.000  2.00
O: 0.923 0.605 0.769  0.12
O: 0.757 0.757 0.228  0.12
O: 0.077 0.395 0.231  0.12
O: 0.605 0.923 0.769  0.12
O: 0.243 0.243 0.772  0.12
O: 0.395 0.077 0.231  0.12

This record from Alexandria describes a relaxed Li2MgRuO6 crystal. The functional is GGA-PBE.

V ... 10.08 A^3/atom
Final energy ... -5.82 eV per atom
Energy relative to the elements, uncorrected ... -1380 meV/atom

Cell lengths 5.125, 5.277, 7.454 Å; angles 90.00, 90.34, 90.00 degrees
Positions (direct):
Li: 0.993 0.956 0.256
Li: 0.493 0.544 0.756
Li: 0.007 0.044 0.744
Li: 0.507 0.456 0.244
Mg: 0.500 0.000 0.000
Mg: 0.000 0.500 0.500
Ru: 0.500 0.000 0.500
Ru: 0.000 0.500 0.000
O: 0.314 0.666 0.056
O: 0.814 0.834 0.556
O: 0.686 0.334 0.944
O: 0.186 0.166 0.444
O: 0.346 0.691 0.431
O: 0.846 0.809 0.931
O: 0.654 0.309 0.569
O: 0.154 0.191 0.069
O: 0.884 0.555 0.238
O: 0.384 0.945 0.738
O: 0.116 0.445 0.762
O: 0.616 0.055 0.262

This record from Alexandria describes a relaxed LiMgSO4 crystal. The functional is GGA-PBE.

V ... 10.41 A^3/atom
Final energy ... -5.50 eV per atom
Energy relative to the elements, uncorrected ... -1575 meV/atom

Cell lengths 6.185, 5.821, 5.821 Å; angles 62.56, 57.91, 57.91 degrees
Last column: magnetic moment on the atom in μB.
Positions (direct):
Li: 0.000 0.000 0.000  0.00
Li: 0.000 0.500 0.500  0.00
Mg: 0.500 0.000 0.500  0.01
Mg: 0.000 0.000 0.500  0.01
S: 0.654 0.596 0.096  0.09
S: 0.346 0.404 0.904  0.09
O: 0.755 0.776 0.714  0.10
O: 0.245 0.786 0.724  0.10
O: 0.755 0.214 0.276  0.10
O: 0.245 0.224 0.286  0.10
O: 0.343 0.708 0.208  0.02
O: 0.742 0.708 0.208  0.02
O: 0.258 0.292 0.792  0.02
O: 0.657 0.292 0.792  0.02